1.
Entry from the Alexandria database: an optimized crystal structure of Sc2CdHgRh (PBEsol).

Unit cell a=4.8297 b=4.8297 c=5.0935 alpha=90.00 beta=90.00 gamma=90.00
Fractional coordinates of all 5 atoms:
Sc (0.0000, 0.5000, 0.0000)
Sc (0.5000, 0.0000, 0.0000)
Cd (0.0000, 0.0000, 0.5000)
Hg (0.5000, 0.5000, 0.5000)
Rh (0.0000, 0.0000, 0.0000)

Summary:
The uncorrected energy is -4.7976 eV/atom.

***

2.
Entry from the Alexandria database: an optimized crystal structure of CdHg3Ru (PBEsol).

Unit cell a=5.1834 b=5.1834 c=5.1834 alpha=90.00 beta=90.00 gamma=90.00
Fractional coordinates of all 5 atoms:
Cd (0.0000, 0.0000, 0.0000)
Hg (0.0000, 0.0000, 0.5000)
Hg (0.0000, 0.5000, 0.0000)
Hg (0.5000, 0.0000, 0.0000)
Ru (0.5000, 0.5000, 0.5000)

Summary:
The uncorrected energy is -1.2526 eV/atom.

***

3.
Entry from the Alexandria database: an optimized crystal structure of CdHgS4 (PBEsol).

Unit cell a=7.5957 b=7.5957 c=4.6868 alpha=90.00 beta=90.00 gamma=90.00
Fractional coordinates of all 12 atoms:
Cd (0.0000, 0.0000, 0.0000)
Cd (0.5000, 0.5000, 0.5000)
Hg (0.0000, 0.5000, 0.2500)
Hg (0.5000, 0.0000, 0.7500)
S (0.2151, 0.7502, 0.1260)
S (0.2498, 0.2151, 0.8740)
S (0.2502, 0.2849, 0.3740)
S (0.2849, 0.7498, 0.6260)
S (0.7151, 0.2502, 0.6260)
S (0.7498, 0.7151, 0.3740)
S (0.7502, 0.7849, 0.8740)
S (0.7849, 0.2498, 0.1260)

Summary:
The value obtained for the formation energy without anion corrections is -10 meV per atom.

***

Quick rundown of size of the total moment, same order as above: 0.000 2.787 0.000 μB/cell